# PmPuCo

An optimized crystal structure of PmPuCo (PBE, the Alexandria database).

Cell lengths 3.4789, 3.4789, 11.1998 Å; angles 90.00, 90.00, 90.00 degrees
Space group I4mm (No. 107)
Unique sites:
Pm1 0.0000 0.0000 0.0000 [2 per cell]
Pu1 0.0000 0.0000 0.2816 [2 per cell]
Co1 0.0000 0.0000 0.6845 [2 per cell]

Values from the calculation:
ΔE_f: 87 meV/atom
relative energy among the computed polymorphs: 0.30 eV/f.u.
DOS at the Fermi energy: 14.26 states/eV/cell
spin magnetization: 1.524 μB per atom